No. 1
This record from the Alexandria database describes crystalline Li2AcHo2Sn2 at its relaxed geometry. The functional is PBE.

abc: 4.8699 4.8699 27.8407
angles: 90.00 90.00 120.00
Space group R-3m (No. 166, hexagonal axes)
Asymmetric unit:
Li (0.0000, 0.0000, 0.0789) x6
Ac (0.0000, 0.0000, 0.5000) x3
Ho (0.0000, 0.0000, 0.3676) x6
Sn (0.0000, 0.0000, 0.2457) x6

## Properties
Formation enthalpy at 0 K, eV per formula unit: -3.25
D(E_F), states/eV/atom: 0.6296
Mass density, g/cm³: 7.04

=====

No. 2
This record from the Alexandria database describes crystalline TbDy5In at its relaxed geometry. The functional is PBE.

abc: 7.932 11.508 6.150
angles: 90.00 90.00 90.00
Space group Imm2 (No. 44)
Asymmetric unit:
Tb (0.000, 0.000, 0.000) x2
Dy (0.000, 0.253, 0.590) x4
Dy (0.000, 0.500, 0.288) x2
Dy (0.185, 0.000, 0.502) x4
In (0.000, 0.500, 0.763) x2

## Properties
Formation enthalpy at 0 K, eV per formula unit: 5.02
D(E_F), states/eV/atom: 1.1582
Mass density, g/cm³: 6.43

=====

No. 3
This record from the Alexandria database describes crystalline FeCu3Si at its relaxed geometry. The functional is PBE.

abc: 4.316 4.316 4.316
angles: 90.00 90.00 90.00
Space group Pm-3m (No. 221)
Asymmetric unit:
Fe (0.000, 0.000, 0.000) x1
Cu (0.000, 0.500, 0.500) x3
Si (0.500, 0.500, 0.500) x1

## Properties
D(E_F), states/eV/atom: 1.0221
Mass density, g/cm³: 5.67
Energy above the lowest structure with this stoichiometry, meV per atom: 0
E_form (uncorrected), meV per atom: 745

=====

No. 4
This record from the Alexandria database describes crystalline LaPrPu2P4 at its relaxed geometry. The functional is PBE.

abc: 7.105 4.118 7.135
angles: 90.00 109.55 90.00
Space group P2/m (No. 10)
Asymmetric unit:
La (0.000, 0.000, 0.000) x1
Pr (0.000, 0.500, 0.500) x1
Pu (0.500, 0.000, 0.500) x1
Pu (0.500, 0.500, 0.000) x1
P (0.269, 0.000, 0.755) x2
P (0.270, 0.500, 0.258) x2

## Properties
Formation enthalpy at 0 K, eV per formula unit: -10.66
D(E_F), states/eV/atom: 2.4529
Mass density, g/cm³: 7.53

=====

Number 1: electronic total energy -4.05 eV per atom. Number 2: electronic total energy -3.62 eV per atom. Number 3: electronic total energy -4.49 eV per atom. Number 4: electronic total energy -8.83 eV per atom.